# Ge3Ir2, optimized geometry, DFT GGA-PBE
# relative energy among the computed polymorphs	0.057	eV per atom
# ΔE_f	-0.18	eV per atom
# symmetry	P2_1/m, No. 11
# DOS at the Fermi energy	4.22	states/eV/cell
data_Ge3Ir2
_cell_length_a 3.604
_cell_length_b 6.478
_cell_length_c 7.583
_cell_angle_alpha 101.83
_cell_angle_beta 90.00
_cell_angle_gamma 90.00
_symmetry_space_group_name_H-M 'P 1'
_symmetry_Int_Tables_number 1
_symmetry_space_group_name_Hall 'P 1'
loop_
_atom_site_label
_atom_site_type_symbol
_atom_site_fract_x
_atom_site_fract_y
_atom_site_fract_z
Ge1 Ge 0.750 0.962 0.142
Ge2 Ge 0.250 0.038 0.858
Ge3 Ge 0.750 0.526 0.777
Ge4 Ge 0.250 0.261 0.467
Ge5 Ge 0.250 0.474 0.223
Ge6 Ge 0.750 0.739 0.533
Ir1 Ir 0.750 0.299 0.016
Ir2 Ir 0.250 0.701 0.984
Ir3 Ir 0.250 0.872 0.366
Ir4 Ir 0.750 0.128 0.634